[1]
Compound: Tm2ZrCu4Si4
Source: OQMD
Functional: PBE-GGA
Structure: relaxed

V, Å³ per atom: 15.71
Total energy, eV per atom: -5.530
Magnetic moment, μB/cell: 0.02

Cell: 7.669 7.669 7.669 Å, 149.43 130.61 59.21°
Fractional positions:
Tm (0.128, 0.128, 0.000)
Tm (0.872, 0.872, 0.000)
Zr (0.500, 0.000, 0.500)
Cu (0.139, 0.331, 0.808)
Cu (0.477, 0.669, 0.808)
Cu (0.523, 0.331, 0.192)
Cu (0.861, 0.669, 0.192)
Si (0.193, 0.500, 0.693)
Si (0.287, 0.787, 0.500)
Si (0.713, 0.213, 0.500)
Si (0.807, 0.500, 0.307)

---

[2]
Compound: UCuSi
Source: OQMD
Functional: PBE-GGA
Structure: relaxed

V, Å³ per atom: 21.58
Total energy, eV per atom: -6.174
Magnetic moment, μB/cell: 6.53

Cell: 6.374 6.374 6.374 Å, 90.00 90.00 90.00°
Fractional positions:
U (0.000, 0.000, 0.000)
U (0.000, 0.500, 0.500)
U (0.500, 0.000, 0.500)
U (0.500, 0.500, 0.000)
Cu (0.250, 0.250, 0.750)
Cu (0.250, 0.750, 0.250)
Cu (0.750, 0.250, 0.250)
Cu (0.750, 0.750, 0.750)
Si (0.250, 0.250, 0.250)
Si (0.250, 0.750, 0.750)
Si (0.750, 0.250, 0.750)
Si (0.750, 0.750, 0.250)

---

[3]
Compound: U3Cu4Si4
Source: OQMD
Functional: PBE-GGA
Structure: relaxed

V, Å³ per atom: 17.13
Total energy, eV per atom: -6.630
Magnetic moment, μB/cell: 7.17

Cell: 12.217 12.217 12.217 Å, 161.41 161.08 26.64°
Fractional positions:
U (0.000, 0.000, 0.000)
U (0.353, 0.853, 0.500)
U (0.647, 0.147, 0.500)
Cu (0.097, 0.597, 0.500)
Cu (0.250, 0.250, 0.000)
Cu (0.750, 0.750, 0.000)
Cu (0.903, 0.403, 0.500)
Si (0.193, 0.693, 0.500)
Si (0.451, 0.451, 0.000)
Si (0.549, 0.549, 0.000)
Si (0.807, 0.307, 0.500)